Compound: K2AlOs
Source: Alexandria via LeMat-Bulk
Functional: PBE
Structure: relaxed

Results
- SG: R-3m, No. 166

Structure (POSCAR):
```
K2AlOs
1.0
2.927 0.000 0.000
-1.464 2.535 0.000
0.000 0.000 35.494
K Al Os
6 3 3
Cartesian
0.000 0.000 8.715
0.000 0.000 26.779
0.000 1.690 14.948
0.000 1.690 32.377
1.464 0.845 3.117
1.464 0.845 20.546
0.000 0.000 0.000
0.000 1.690 23.662
1.464 0.845 11.831
0.000 0.000 17.747
0.000 1.690 5.916
1.464 0.845 29.578
```

Compound: Na3Rh
Source: Alexandria via LeMat-Bulk
Functional: PBE
Structure: relaxed

Results
- SG: P6_3/mmc, No. 194

Structure (POSCAR):
```
Na3Rh
1.0
6.329 0.000 0.000
-3.164 5.481 0.000
0.000 0.000 5.187
Na Rh
6 2
Cartesian
0.000 1.954 1.297
-1.472 4.504 1.297
1.692 0.977 3.890
1.472 4.504 1.297
4.636 0.977 3.890
3.164 3.526 3.890
0.000 3.654 3.890
3.164 1.827 1.297
```

Compound: Cs2TlGeAs2
Source: Alexandria via LeMat-Bulk
Functional: PBE
Structure: relaxed

Results
- SG: Ibam, No. 72

Structure (POSCAR):
```
Cs2TlGeAs2
1.0
-3.972 7.932 3.477
3.972 -7.932 3.477
3.972 7.932 -3.477
Cs Tl Ge As
4 2 2 4
Cartesian
1.830 2.753 0.000
1.830 -2.753 3.477
2.141 10.684 0.000
2.141 5.179 3.477
3.972 0.000 1.739
0.000 7.932 1.739
0.000 0.000 1.739
0.000 0.000 5.216
6.387 1.224 0.000
2.415 6.707 0.000
1.556 1.224 3.477
-2.415 6.707 3.477
```

Compound: Tb2CuGe2Rh5
Source: Alexandria via LeMat-Bulk
Functional: PBE
Structure: relaxed

Results
- SG: P4/mbm, No. 127

Structure (POSCAR):
```
Tb2CuGe2Rh5
1.0
9.755 0.000 0.000
0.000 9.755 0.000
0.000 0.000 3.538
Tb Cu Ge Rh
4 2 4 10
Cartesian
1.685 3.193 0.000
3.193 8.071 0.000
6.562 1.685 0.000
8.071 6.562 0.000
0.000 0.000 0.000
4.878 4.878 0.000
1.243 6.121 0.000
3.634 1.243 0.000
6.121 8.512 0.000
8.512 3.634 0.000
0.000 4.878 1.769
0.634 7.769 1.769
1.987 0.634 1.769
2.891 5.511 1.769
4.244 2.891 1.769
4.878 0.000 1.769
5.511 6.864 1.769
6.864 4.244 1.769
7.769 9.122 1.769
9.122 1.987 1.769
```

Compound: Ti8V2Rh
Source: Alexandria via LeMat-Bulk
Functional: PBE
Structure: relaxed

Results
- SG: C2/m, No. 12

Structure (POSCAR):
```
Ti8V2Rh
1.0
6.458 -2.700 0.000
6.458 2.700 0.000
-0.101 0.000 5.155
Ti V Rh
8 2 1
Cartesian
1.090 0.000 0.602
5.130 1.371 1.961
3.774 0.000 4.454
7.684 1.371 3.194
5.130 -1.371 1.961
9.040 0.000 0.701
7.684 -1.371 3.194
11.724 0.000 4.553
3.037 0.000 1.836
9.777 0.000 3.319
6.458 0.000 0.000
```

Compound: Li3BeAu6
Source: Alexandria via LeMat-Bulk
Functional: PBE
Structure: relaxed

Results
- SG: P2_1/m, No. 11

Structure (POSCAR):
```
Li3BeAu6
1.0
7.553 0.000 0.000
0.000 4.538 0.000
-3.743 0.000 9.107
Li Be Au
6 2 12
Cartesian
-1.186 1.134 3.360
0.024 3.403 1.976
-1.552 1.134 8.920
5.362 3.403 0.187
3.786 1.134 7.131
4.996 3.403 5.747
1.382 1.134 5.287
2.428 3.403 3.820
-3.209 3.403 8.431
-1.163 1.134 5.975
0.057 3.403 4.534
-0.524 3.403 7.620
1.437 1.134 2.861
2.617 3.403 1.386
1.193 1.134 7.721
2.373 3.403 6.246
4.334 1.134 1.487
3.753 1.134 4.572
4.972 3.403 3.132
7.018 1.134 0.676
```

| no. | N(E_F) (states/eV/cell) | uncorrected energy (eV per atom) |
| --- | --- | --- |
| 1 | 8.46 | -3.2297 |
| 2 | 5.86 | -2.4638 |
| 3 | 2.87 | -3.2539 |
| 4 | 8.97 | -6.6034 |
| 5 | 14.48 | -8.0784 |
| 6 | 5.06 | -3.2816 |